1.
ZnC2 (PBE, optimized geometry); energy above the lowest structure with this stoichiometry = 1274 meV/atom; formation energy = 1404 meV/atom; density = 4775 kg/m³
1.0
2.9304 0.0000 0.0000
0.0000 2.9304 0.0000
0.0000 0.0000 7.2430
Zn C
2 4
direct
0.2500 0.2500 0.1094
0.7500 0.7500 0.8906
0.2500 0.2500 0.3927
0.2500 0.7500 0.5000
0.7500 0.2500 0.5000
0.7500 0.7500 0.6073

2.
Zn5C3 (PBE, optimized geometry); energy above the lowest structure with this stoichiometry = 217 meV/atom; formation energy = 1135 meV/atom; density = 6368 kg/m³
1.0
-4.0016 4.0016 2.9564
4.0016 -4.0016 2.9564
4.0016 4.0016 -2.9564
Zn C
10 6
direct
0.0000 0.5000 0.5000
0.0452 0.1676 0.7161
0.1676 0.4514 0.1224
0.3291 0.0452 0.8776
0.4514 0.3291 0.2839
0.5000 0.0000 0.5000
0.5452 0.8291 0.8776
0.6676 0.5452 0.7161
0.8291 0.9514 0.2839
0.9514 0.6676 0.1224
0.9995 0.9995 0.0000
0.1017 0.8991 0.5000
0.3991 0.6017 0.5000
0.4995 0.4995 0.0000
0.6017 0.1017 0.2026
0.8991 0.3991 0.7974

3.
Zn2C (PBE, optimized geometry); energy above the lowest structure with this stoichiometry = 123 meV/atom; formation energy = 747 meV/atom; density = 6146 kg/m³
1.0
5.4553 0.0000 0.0000
-2.7276 4.7244 0.0000
0.0000 0.0000 4.4918
Zn C
6 3
direct
0.0000 0.3215 0.2667
0.0000 0.6785 0.7333
0.3215 0.0000 0.2667
0.3215 0.3215 0.7333
0.6785 0.0000 0.7333
0.6785 0.6785 0.2667
0.0000 0.0000 0.0000
0.3333 0.6667 0.5000
0.6667 0.3333 0.5000

4.
ZnC (PBE, optimized geometry); energy above the lowest structure with this stoichiometry = 684 meV/atom; formation energy = 766 meV/atom; density = 4947 kg/m³
1.0
5.5664 0.0000 0.0000
0.0000 5.5664 0.0000
0.0000 0.0000 3.3547
Zn C
4 4
direct
0.2320 0.2320 0.0000
0.2680 0.7320 0.5000
0.7320 0.2680 0.5000
0.7680 0.7680 0.0000
0.0878 0.0878 0.5000
0.4122 0.5878 0.0000
0.5878 0.4122 0.0000
0.9122 0.9122 0.5000

5.
ZnC (PBE, optimized geometry); energy above the lowest structure with this stoichiometry = 1827 meV/atom; formation energy = 1909 meV/atom; density = 6128 kg/m³
1.0
2.7581 0.0000 0.0000
0.0000 2.7581 0.0000
0.0000 0.0000 2.7581
Zn C
1 1
direct
0.0000 0.0000 0.0000
0.5000 0.5000 0.5000

6.
Zn2C (PBE, optimized geometry); energy above the lowest structure with this stoichiometry = 589 meV/atom; formation energy = 1213 meV/atom; density = 6375 kg/m³
1.0
-1.3636 1.3636 10.0034
1.3636 -1.3636 10.0034
1.3636 1.3636 -10.0034
Zn C
4 2
direct
0.3076 0.5576 0.7500
0.4424 0.6924 0.7500
0.5576 0.3076 0.2500
0.6924 0.4424 0.2500
0.1250 0.8750 0.2500
0.8750 0.1250 0.7500

7.
ZnC (PBE, optimized geometry); energy above the lowest structure with this stoichiometry = 814 meV/atom; formation energy = 896 meV/atom; density = 5120 kg/m³
1.0
5.2931 -1.2813 0.0000
5.2931 1.2813 0.0000
-1.5938 0.0000 5.5535
Zn C
3 3
direct
0.0000 0.0000 0.0000
0.2735 0.2735 0.5228
0.5421 0.5421 0.4498
0.2343 0.2343 0.0498
0.7687 0.7687 0.0340
0.9374 0.9374 0.6330

8.
ZnC2 (PBE, optimized geometry); energy above the lowest structure with this stoichiometry = 633 meV/atom; formation energy = 763 meV/atom; density = 4095 kg/m³
1.0
4.5644 0.0000 0.0000
0.0000 2.4840 0.0000
0.0000 0.0000 12.7935
Zn C
4 8
direct
0.2388 0.2500 0.1261
0.2612 0.7500 0.6261
0.7388 0.2500 0.3739
0.7612 0.7500 0.8739
0.1665 0.2500 0.8747
0.1843 0.2500 0.3739
0.3157 0.7500 0.8739
0.3335 0.7500 0.3747
0.6665 0.2500 0.6253
0.6843 0.2500 0.1261
0.8157 0.7500 0.6261
0.8335 0.7500 0.1253

- Number 3 is which compound?
  Zn2C

Please write out number 7 again, unchanged.
ZnC (PBE, optimized geometry); energy above the lowest structure with this stoichiometry = 814 meV/atom; formation energy = 896 meV/atom; density = 5120 kg/m³
1.0
5.2931 -1.2813 0.0000
5.2931 1.2813 0.0000
-1.5938 0.0000 5.5535
Zn C
3 3
direct
0.0000 0.0000 0.0000
0.2735 0.2735 0.5228
0.5421 0.5421 0.4498
0.2343 0.2343 0.0498
0.7687 0.7687 0.0340
0.9374 0.9374 0.6330

- Number 1 is which compound?
  ZnC2